NbCuAgMo2: optimized geometry, PBE-GGA.

Output
formation energy from the elements: 1461 meV per atom
space group: P4/mmm
spin magnetization: 0.000 Bohr magnetons per cell
theoretical density: 7.9 g/cm³

a b c (Å): 4.5333 4.6465 4.5333
angles (deg): 90.00 90.00 90.00
With the nearest neighbours (Å) after each atom.
Element x y z (fractional)
Nb: 0.0000 0.5000 0.0000  2 Cu 2.32
Ag: 0.5000 0.5000 0.5000  4 Nb 3.21, 8 Mo 3.25
Mo: 0.0000 0.0000 0.5000  2 Cu 2.27
Mo: 0.5000 0.0000 0.0000  2 Cu 2.27
Cu: 0.0000 0.0000 0.0000  4 Mo 2.27, 2 Nb 2.32